# 1
Si2Mo: optimized geometry, GGA-PBE.

Cell: 7.6790 7.6790 3.4182 Å, 90.00 90.00 153.95°
Closest atoms and distances in Å follow each position.
Atoms (fractional coordinates):
Mo  0.1245  0.8755  0.7500  8 Si 2.54-2.62
Mo  0.8755  0.1245  0.2500  8 Si 2.54-2.62
Si  0.7488  0.2512  0.7500  4 Si 2.43, 4 Mo 2.54-2.55
Si  0.5595  0.4405  0.2500  2 Si 2.47, 4 Mo 2.62
Si  0.2512  0.7488  0.2500  4 Si 2.43, 4 Mo 2.54-2.55
Si  0.4405  0.5595  0.7500  2 Si 2.47, 4 Mo 2.62

calculated total energy: -7.367 eV per atom
total moment: 0.000 μB per cell
ΔE_f (raw): -0.142 eV per atom
theoretical density: 5.7 g/cm3

=====

# 2
Si2Mo: optimized geometry, GGA-PBE.

Cell: 6.9164 6.9164 3.2117 Å, 90.00 90.00 120.00°
Closest atoms and distances in Å follow each position.
Atoms (fractional coordinates):
Si  0.6271  0.0000  0.5000  5 Mo 2.58-2.71, 4 Si 2.82
Si  0.0000  0.6271  0.5000  5 Mo 2.58-2.71, 4 Si 2.82
Si  0.0000  0.2748  0.0000  4 Mo 2.49-2.53
Si  0.2748  0.0000  0.0000  4 Mo 2.49-2.53
Si  0.7252  0.7252  0.0000  4 Mo 2.49-2.53
Si  0.3729  0.3729  0.5000  5 Mo 2.58-2.71, 4 Si 2.82
Mo  0.0000  0.0000  0.5000  9 Si 2.49-2.58
Mo  0.3333  0.6667  0.0000  9 Si 2.53-2.71
Mo  0.6667  0.3333  0.0000  9 Si 2.53-2.71

calculated total energy: -7.249 eV per atom
total moment: 0.000 μB per cell
ΔE_f (raw): -0.023 eV per atom
theoretical density: 5.7 g/cm3

=====

# 3
SiMo: optimized geometry, GGA-PBE.

Cell: 6.7890 6.7890 6.7890 Å, 90.00 90.00 90.00°
Closest atoms and distances in Å follow each position.
Atoms (fractional coordinates):
Mo  0.5000  0.7500  0.0000  4 Si 2.40
Mo  0.2500  0.0000  0.5000  4 Si 2.40
Mo  0.7500  0.0000  0.5000  4 Si 2.40
Mo  0.0000  0.5000  0.2500  4 Si 2.40
Mo  0.5000  0.2500  0.0000  4 Si 2.40
Mo  0.0000  0.5000  0.7500  4 Si 2.40
Si  0.5000  0.0000  0.7500  4 Mo 2.40
Si  0.2500  0.5000  0.0000  4 Mo 2.40
Si  0.5000  0.0000  0.2500  4 Mo 2.40
Si  0.0000  0.2500  0.5000  4 Mo 2.40
Si  0.0000  0.7500  0.5000  4 Mo 2.40
Si  0.7500  0.5000  0.0000  4 Mo 2.40

calculated total energy: -7.005 eV per atom
total moment: 1.181 μB per cell
ΔE_f (raw): 1.122 eV per atom
theoretical density: 3.9 g/cm3

=====

# 4
Si2Mo: optimized geometry, GGA-PBE.

Cell: 6.0411 6.0411 6.0411 Å, 90.00 90.00 90.00°
Closest atoms and distances in Å follow each position.
Atoms (fractional coordinates):
Si  0.8779  0.3779  0.8779  3 Mo 2.51, 1 Si 2.55
Si  0.3779  0.1221  0.1221  3 Mo 2.51, 1 Si 2.55
Si  0.1221  0.6221  0.1221  3 Mo 2.51, 1 Si 2.55
Si  0.6221  0.6221  0.3779  3 Mo 2.51, 1 Si 2.55
Si  0.1221  0.8779  0.6221  3 Mo 2.51, 1 Si 2.55
Si  0.8779  0.1221  0.3779  3 Mo 2.51, 1 Si 2.55
Si  0.6221  0.8779  0.8779  3 Mo 2.51, 1 Si 2.55
Si  0.3779  0.3779  0.6221  3 Mo 2.51, 1 Si 2.55
Mo  0.5000  0.0000  0.5000  6 Si 2.51
Mo  0.5000  0.5000  0.0000  6 Si 2.51
Mo  0.0000  0.5000  0.5000  6 Si 2.51
Mo  0.0000  0.0000  0.0000  6 Si 2.51

calculated total energy: -6.359 eV per atom
total moment: 3.427 μB per cell
ΔE_f (raw): 0.867 eV per atom
theoretical density: 4.6 g/cm3

=====

# 5
Si3Mo: optimized geometry, GGA-PBE.

Cell: 3.8199 3.8199 3.8199 Å, 90.00 90.00 90.00°
Closest atoms and distances in Å follow each position.
Atoms (fractional coordinates):
Si  0.5000  0.5000  0.0000  8 Si 2.70, 4 Mo 2.70
Si  0.0000  0.5000  0.5000  8 Si 2.70, 4 Mo 2.70
Si  0.5000  0.0000  0.5000  8 Si 2.70, 4 Mo 2.70
Mo  0.0000  0.0000  0.0000  12 Si 2.70

calculated total energy: -6.419 eV per atom
total moment: 0.340 μB per cell
ΔE_f (raw): 0.356 eV per atom
relative energy among the computed polymorphs: 0.497 eV/atom
theoretical density: 5.4 g/cm3

=====

# 6
SiMo4: optimized geometry, GGA-PBE.

Cell: 6.3088 6.3088 6.3088 Å, 142.50 142.50 54.08°
Closest atoms and distances in Å follow each position.
Atoms (fractional coordinates):
Mo  0.7500  0.2500  0.5000  4 Mo 2.55
Mo  0.6127  0.6127  0.0000  5 Mo 2.53-2.55
Mo  0.3873  0.3873  0.0000  5 Mo 2.53-2.55
Mo  0.2500  0.7500  0.5000  4 Mo 2.55
Si  0.0000  0.0000  0.0000  16 Mo 3.14-3.47

calculated total energy: -8.887 eV per atom
total moment: 0.000 μB per cell
ΔE_f (raw): 0.863 eV per atom
relative energy among the computed polymorphs: 1.021 eV/atom
theoretical density: 7.4 g/cm3